20
Lattice="-5.712 -0.611 5.922 -0.761 -6.734 -5.261 1.287 -7.301 4.319" Properties=species:S:1:pos:R:3 comment="PmAg12Te7 | Alexandria via LeMat-Bulk | PBE | relaxed" crystal_system=trigonal dos_ef_per_ev_cell=5.5 e_tot_ev_per_atom=-3.142 formation_energy_uncorrected_ev_per_atom=-0.0942 pbc="T T T"
Ag -1.480 -7.029 -0.231
Ag 0.505 -8.681 1.231
Ag -2.783 -5.042 6.381
Ag -5.692 -5.966 3.749
Ag -3.791 -2.881 1.800
Ag -0.969 -3.203 0.926
Ag -1.794 -5.828 3.691
Ag -4.218 -11.443 4.053
Ag -2.404 -9.604 -1.401
Ag -1.396 -11.765 3.179
Ag -3.707 -7.617 5.210
Ag -3.393 -8.819 1.288
Te -3.712 -5.824 1.472
Te -4.598 -3.415 4.698
Te -5.593 -8.949 3.354
Te -1.475 -8.822 3.507
Te -2.856 -0.306 2.961
Te 0.406 -5.698 1.626
Te -0.589 -11.231 0.281
Pm 0.000 0.000 0.000

***

8
Lattice="-0.246 -4.404 -1.399 3.873 -0.702 1.526 -6.686 -2.759 9.860" Properties=species:S:1:pos:R:3 comment="Pm2AgTe | Alexandria via LeMat-Bulk | PBE | relaxed" crystal_system=orthorhombic dos_ef_per_ev_cell=5.8 e_tot_ev_per_atom=-4.686 formation_energy_uncorrected_ev_per_atom=-0.8123 pbc="T T T"
Ag -4.438 -3.966 9.438
Ag 1.379 -3.898 0.548
Te -1.897 -2.303 3.754
Te -1.163 -5.562 6.232
Pm -3.141 -3.117 6.538
Pm -2.402 -6.373 9.003
Pm 0.082 -4.747 3.449
Pm -0.658 -1.491 0.983

***

20
Lattice="-6.492 4.163 -0.952 -4.961 -6.835 3.945 1.753 4.549 7.946" Properties=species:S:1:pos:R:3 comment="Pm3AgTe6 | Alexandria via LeMat-Bulk | PBE | relaxed" crystal_system=orthorhombic dos_ef_per_ev_cell=7.4 e_tot_ev_per_atom=-4.606 formation_energy_uncorrected_ev_per_atom=-1.0109 pbc="T T T"
Te -5.223 2.541 3.559
Te -4.051 4.763 6.420
Te -9.185 -3.613 3.425
Te -8.330 -1.215 6.521
Te -3.578 -1.242 7.512
Te -2.009 1.918 8.829
Te -7.160 -0.382 2.188
Te -2.548 -0.508 3.695
Te 0.335 4.944 7.639
Te -0.839 2.751 4.496
Te -6.253 1.808 7.376
Te -4.518 -3.612 4.684
Pm -6.383 -0.959 8.955
Pm -4.309 0.518 1.270
Pm -6.291 4.743 1.548
Pm -3.358 1.588 5.997
Pm -8.365 3.265 9.233
Pm -7.979 1.338 4.702
Ag 0.094 2.110 7.029
Ag -6.868 -2.110 4.339

***

12
Lattice="4.590 0.000 0.000 0.000 9.407 -0.218 -2.295 -3.334 10.240" Properties=species:S:1:pos:R:3 comment="Pm3TlAg2Te6 | Alexandria via LeMat-Bulk | PBE | relaxed" crystal_system=monoclinic e_tot_ev_per_atom=-4.372 formation_energy_uncorrected_ev_per_atom=-0.9410 pbc="T T T"
Te 2.295 -0.556 3.437
Te 0.000 1.745 6.983
Te 0.000 6.861 0.119
Te 0.000 6.629 6.585
Te 2.295 4.329 3.038
Te 2.295 -0.788 9.903
Pm 2.295 4.704 -0.109
Pm 2.295 -0.440 6.817
Pm 0.000 6.513 3.205
Ag 0.000 0.466 4.557
Ag 2.295 5.607 5.465
Tl 2.295 0.000 0.000

***

12
Lattice="-7.710 0.253 1.022 3.589 -6.798 -1.208 2.394 1.380 7.767" Properties=species:S:1:pos:R:3 comment="Pm2Tl3AgTe6 | Alexandria via LeMat-Bulk | PBE | relaxed" crystal_system=monoclinic dos_ef_per_ev_cell=7.5 e_tot_ev_per_atom=-3.872 formation_energy_uncorrected_ev_per_atom=-0.6801 pbc="T T T"
Te -3.121 -2.827 6.296
Te -2.522 -4.580 1.705
Te 1.394 -2.338 1.286
Te -2.245 -0.067 2.004
Te 0.795 -0.585 5.877
Te 0.518 -5.098 5.578
Tl -4.441 -0.349 4.497
Tl 2.714 -4.815 3.084
Tl -0.863 -2.582 3.791
Pm -0.227 -4.417 -0.455
Pm -3.894 -2.128 0.269
Ag 0.000 0.000 0.000

***

12
Lattice="-0.031 -1.357 4.096 -3.713 -5.826 -4.230 10.227 -5.300 -1.677" Properties=species:S:1:pos:R:3 comment="PmTlAgTe3 | Alexandria via LeMat-Bulk | PBE | relaxed" crystal_system=orthorhombic dos_ef_per_ev_cell=8.2 e_tot_ev_per_atom=-3.917 formation_energy_uncorrected_ev_per_atom=-0.6844 pbc="T T T"
Te 3.474 -4.863 0.689
Te -0.492 -2.808 1.339
Te -0.568 -7.428 -0.191
Te 6.975 -9.674 -3.151
Te 3.009 -7.619 -2.500
Te 7.051 -5.054 -1.620
Tl 0.769 -4.443 -1.465
Tl 5.714 -8.039 -0.346
Pm 5.113 -2.650 -0.839
Pm 0.000 0.000 0.000
Ag 4.193 -10.041 -3.293
Ag 2.290 -2.440 1.482